Entry 1:
La3Pm5Sm | PBE | relaxed

abc: 7.523 7.523 12.982
angles: 79.99 79.99 69.31
Fractional coordinates of all 18 atoms:
La (0.601, 0.601, 0.789)
La (0.728, 0.728, 0.535)
La (0.000, 0.000, 0.000)
La (0.000, 0.000, 0.500)
La (0.399, 0.399, 0.211)
La (0.272, 0.272, 0.465)
Pm (0.946, 0.330, 0.224)
Pm (0.316, 0.684, 0.000)
Pm (0.737, 0.737, 0.033)
Pm (0.561, 0.561, 0.377)
Pm (0.439, 0.439, 0.623)
Pm (0.263, 0.263, 0.967)
Pm (0.330, 0.946, 0.224)
Pm (0.684, 0.316, 0.000)
Pm (0.054, 0.670, 0.776)
Pm (0.670, 0.054, 0.776)
Sm (0.137, 0.137, 0.735)
Sm (0.863, 0.863, 0.265)

Properties
The formation energy is 0.39 eV per atom.


Entry 2:
La4Pm15Sm | PBE | relaxed

abc: 5.198 5.198 25.916
angles: 90.00 90.00 90.00
Fractional coordinates of all 20 atoms:
La (0.000, 0.000, 0.200)
La (0.000, 0.000, 0.400)
La (0.000, 0.000, 0.600)
La (0.000, 0.000, 0.800)
Pm (0.500, 0.500, 0.000)
Pm (0.500, 0.500, 0.199)
Pm (0.500, 0.500, 0.400)
Pm (0.500, 0.500, 0.600)
Pm (0.500, 0.500, 0.801)
Pm (0.500, 0.000, 0.099)
Pm (0.500, 0.000, 0.300)
Pm (0.500, 0.000, 0.500)
Pm (0.500, 0.000, 0.700)
Pm (0.500, 0.000, 0.901)
Pm (0.000, 0.500, 0.099)
Pm (0.000, 0.500, 0.300)
Pm (0.000, 0.500, 0.500)
Pm (0.000, 0.500, 0.700)
Pm (0.000, 0.500, 0.901)
Sm (0.000, 0.000, 0.000)

Properties
The formation energy is 0.02 eV per atom.


Entry 3:
LaPm4Sm15 | PBE | relaxed

abc: 5.152 5.152 25.743
angles: 90.00 90.00 90.00
Fractional coordinates of all 20 atoms:
La (0.000, 0.000, 0.000)
Pm (0.000, 0.000, 0.201)
Pm (0.000, 0.000, 0.400)
Pm (0.000, 0.000, 0.600)
Pm (0.000, 0.000, 0.799)
Sm (0.500, 0.500, 0.000)
Sm (0.500, 0.500, 0.201)
Sm (0.500, 0.500, 0.400)
Sm (0.500, 0.500, 0.600)
Sm (0.500, 0.500, 0.799)
Sm (0.500, 0.000, 0.101)
Sm (0.500, 0.000, 0.301)
Sm (0.500, 0.000, 0.500)
Sm (0.500, 0.000, 0.699)
Sm (0.500, 0.000, 0.899)
Sm (0.000, 0.500, 0.101)
Sm (0.000, 0.500, 0.301)
Sm (0.000, 0.500, 0.500)
Sm (0.000, 0.500, 0.699)
Sm (0.000, 0.500, 0.899)

Properties
The formation energy is 0.02 eV per atom.


Entry 4:
La3Pm2Sm4 | PBE | relaxed

abc: 3.662 3.662 27.460
angles: 90.00 90.00 120.00
Fractional coordinates of all 9 atoms:
La (0.000, 0.000, 0.984)
La (0.000, 0.000, 0.322)
La (0.667, 0.333, 0.653)
Pm (0.667, 0.333, 0.092)
Pm (0.667, 0.333, 0.870)
Sm (0.000, 0.000, 0.541)
Sm (0.667, 0.333, 0.436)
Sm (0.667, 0.333, 0.215)
Sm (0.000, 0.000, 0.764)

Properties
The calculation puts the energy above the most stable polymorph in this dataset at 47 meV/atom. The formation energy is 0.07 eV per atom.


Entry 5:
La2Pm7Sm3 | PBE | relaxed

abc: 5.873 5.901 12.927
angles: 103.19 90.00 90.00
Fractional coordinates of all 12 atoms:
La (0.000, 0.886, 0.773)
La (0.000, 0.114, 0.227)
Pm (0.000, 0.388, 0.777)
Pm (0.000, 0.772, 0.543)
Pm (0.000, 0.000, 0.000)
Pm (0.000, 0.612, 0.223)
Pm (0.500, 0.104, 0.208)
Pm (0.500, 0.896, 0.792)
Pm (0.000, 0.228, 0.457)
Sm (0.500, 0.500, 0.000)
Sm (0.500, 0.697, 0.394)
Sm (0.500, 0.303, 0.606)

Properties
The calculation puts the energy above the most stable polymorph in this dataset at 407 meV/atom. The formation energy is 0.48 eV per atom.


Entry 6:
LaPm4Sm6 | PBE | relaxed

abc: 9.967 9.967 9.967
angles: 56.41 140.95 140.95
Fractional coordinates of all 11 atoms:
La (0.000, 0.000, 0.000)
Pm (0.000, 0.630, 0.010)
Pm (0.380, 0.370, 0.370)
Pm (0.000, 0.010, 0.630)
Pm (0.620, 0.990, 0.990)
Sm (0.000, 0.808, 0.448)
Sm (0.000, 0.448, 0.808)
Sm (0.360, 0.552, 0.552)
Sm (0.500, 0.500, 0.000)
Sm (0.640, 0.192, 0.192)
Sm (0.500, 0.000, 0.500)

Properties
The calculation puts the energy above the most stable polymorph in this dataset at 0 meV/atom. The formation energy is 0.30 eV per atom.


Entry 7:
La5Pm12Sm2 | PBE | relaxed

abc: 11.828 8.875 9.599
angles: 70.84 90.00 131.79
Fractional coordinates of all 19 atoms:
La (0.195, 0.389, 0.671)
La (0.314, 0.628, 0.228)
La (0.000, 0.000, 0.500)
La (0.686, 0.372, 0.772)
La (0.805, 0.611, 0.329)
Pm (0.119, 0.238, 0.057)
Pm (0.053, 0.609, 0.808)
Pm (0.557, 0.609, 0.808)
Pm (0.172, 0.790, 0.418)
Pm (0.618, 0.790, 0.418)
Pm (0.423, 0.846, 0.787)
Pm (0.577, 0.154, 0.213)
Pm (0.828, 0.210, 0.582)
Pm (0.382, 0.210, 0.582)
Pm (0.947, 0.391, 0.192)
Pm (0.443, 0.391, 0.192)
Pm (0.881, 0.762, 0.943)
Sm (0.735, 0.000, 0.000)
Sm (0.265, 0.000, 0.000)

Properties
The calculation puts the energy above the most stable polymorph in this dataset at 0 meV/atom. The formation energy is 0.11 eV per atom.


Entry 8:
La4Pm5Sm2 | PBE | relaxed

abc: 3.570 9.528 12.708
angles: 112.02 98.07 90.00
Fractional coordinates of all 11 atoms:
La (0.000, 0.291, 0.000)
La (0.593, 0.593, 0.187)
La (0.000, 0.709, 0.000)
La (0.407, 0.407, 0.813)
Pm (0.851, 0.050, 0.702)
Pm (0.851, 0.652, 0.702)
Pm (0.149, 0.348, 0.298)
Pm (0.149, 0.950, 0.298)
Pm (0.500, 0.000, 0.000)
Sm (0.272, 0.272, 0.543)
Sm (0.728, 0.728, 0.457)

Properties
The calculation puts the energy above the most stable polymorph in this dataset at 156 meV/atom. The formation energy is 0.23 eV per atom.


So what do the calculations give for E? Going down the list: -4.42 -4.77 -4.72 -4.73 -4.30 -4.45 -4.69 -4.58 eV per atom.